(one)
The following is a PBE calculation of a geometry-optimized AlOsPt3 structure, from Alexandria via LeMat-Bulk.

## Properties
space-group type	Pm-3m (221)

Unit cell a=4.4920 b=4.4920 c=4.4920 alpha=90.00 beta=90.00 gamma=90.00
Sites, in units of the cell vectors:
Al (0.0000, 0.0000, 0.0000)
Os (0.5000, 0.5000, 0.5000)
Pt (0.0000, 0.0000, 0.5000)
Pt (0.0000, 0.5000, 0.0000)
Pt (0.5000, 0.0000, 0.0000)



(two)
The following is a PBE calculation of a geometry-optimized AlOsPt3 structure, from Alexandria via LeMat-Bulk.

## Properties
space-group type	Pm-3m (221)

Unit cell a=4.8357 b=4.8357 c=4.8357 alpha=90.00 beta=90.00 gamma=90.00
Sites, in units of the cell vectors:
Al (0.0000, 0.0000, 0.0000)
Os (0.5000, 0.5000, 0.5000)
Pt (0.0000, 0.5000, 0.5000)
Pt (0.5000, 0.0000, 0.5000)
Pt (0.5000, 0.5000, 0.0000)



Most stable = (one)



(one)
The following is a PBE calculation of a geometry-optimized PuAl2Os structure, from Alexandria via LeMat-Bulk.

## Properties
space-group type	Fm-3m (225)

Unit cell a=4.5964 b=4.5964 c=4.5964 alpha=60.00 beta=60.00 gamma=60.00
Sites, in units of the cell vectors:
Pu (0.0000, 0.0000, 0.0000)
Al (0.2500, 0.2500, 0.2500)
Al (0.7500, 0.7500, 0.7500)
Os (0.5000, 0.5000, 0.5000)



(two)
The following is a PBE calculation of a geometry-optimized PuAl2Os structure, from Alexandria via LeMat-Bulk.

## Properties
space-group type	P4/mmm (123)

Unit cell a=3.0675 b=3.0675 c=7.4744 alpha=90.00 beta=90.00 gamma=90.00
Sites, in units of the cell vectors:
Pu (0.0000, 0.0000, 0.0000)
Al (0.5000, 0.5000, 0.3126)
Al (0.5000, 0.5000, 0.6874)
Os (0.0000, 0.0000, 0.5000)



(three)
The following is a PBE calculation of a geometry-optimized PuAl2Os structure, from Alexandria via LeMat-Bulk.

## Properties
space-group type	Cmcm (63)

Unit cell a=5.1439 b=5.1439 c=7.6549 alpha=90.00 beta=90.00 gamma=132.87
Sites, in units of the cell vectors:
Pu (0.0656, 0.9344, 0.7500)
Pu (0.9344, 0.0656, 0.2500)
Al (0.3510, 0.6490, 0.5512)
Al (0.3510, 0.6490, 0.9488)
Al (0.6490, 0.3510, 0.0512)
Al (0.6490, 0.3510, 0.4488)
Os (0.2154, 0.7846, 0.2500)
Os (0.7846, 0.2154, 0.7500)



Most stable = (three)



(one)
The following is a PBE calculation of a geometry-optimized RbAlOs structure, from Alexandria via LeMat-Bulk.

## Properties
space-group type	Cmcm (63)

Unit cell a=6.8905 b=6.8905 c=5.2419 alpha=90.00 beta=90.00 gamma=142.72
Sites, in units of the cell vectors:
Rb (0.2346, 0.7654, 0.7500)
Rb (0.7654, 0.2346, 0.2500)
Al (0.5000, 0.5000, 0.0000)
Al (0.5000, 0.5000, 0.5000)
Os (0.0145, 0.9855, 0.2500)
Os (0.9855, 0.0145, 0.7500)



(two)
The following is a PBE calculation of a geometry-optimized RbAlOs structure, from Alexandria via LeMat-Bulk.

## Properties
space-group type	P2_1/m (11)

Unit cell a=4.9581 b=4.3212 c=10.5667 alpha=90.00 beta=94.58 gamma=90.00
Sites, in units of the cell vectors:
Rb (0.2200, 0.2500, 0.2857)
Rb (0.7800, 0.7500, 0.7143)
Al (0.3821, 0.2500, 0.9389)
Al (0.6179, 0.7500, 0.0611)
Os (0.1167, 0.7500, 0.0051)
Os (0.8833, 0.2500, 0.9949)



(three)
The following is a PBE calculation of a geometry-optimized RbAlOs structure, from Alexandria via LeMat-Bulk.

## Properties
space-group type	P2_1/m (11)

Unit cell a=5.0444 b=4.3641 c=7.4123 alpha=90.00 beta=92.48 gamma=90.00
Sites, in units of the cell vectors:
Rb (0.2393, 0.2500, 0.3830)
Rb (0.7607, 0.7500, 0.6170)
Al (0.3847, 0.2500, 0.9206)
Al (0.6153, 0.7500, 0.0794)
Os (0.1165, 0.7500, 0.0052)
Os (0.8835, 0.2500, 0.9948)



(four)
The following is a PBE calculation of a geometry-optimized RbAlOs structure, from Alexandria via LeMat-Bulk.

## Properties
space-group type	Cm (8)

Unit cell a=6.6651 b=6.6651 c=2.9605 alpha=92.29 beta=92.29 gamma=34.69
Sites, in units of the cell vectors:
Rb (0.0000, 0.0000, 0.0000)
Al (0.7394, 0.7394, 0.0505)
Os (0.2694, 0.2694, 0.5537)



Most stable = (two)



(one)
The following is a PBE calculation of a geometry-optimized AlRe3Os structure, from Alexandria via LeMat-Bulk.

## Properties
space-group type	Pm-3m (221)

Unit cell a=4.3548 b=4.3548 c=4.3548 alpha=90.00 beta=90.00 gamma=90.00
Sites, in units of the cell vectors:
Al (0.0000, 0.0000, 0.0000)
Re (0.0000, 0.0000, 0.5000)
Re (0.0000, 0.5000, 0.0000)
Re (0.5000, 0.0000, 0.0000)
Os (0.5000, 0.5000, 0.5000)



(two)
The following is a PBE calculation of a geometry-optimized AlRe3Os structure, from Alexandria via LeMat-Bulk.

## Properties
space-group type	Pm-3m (221)

Unit cell a=4.7010 b=4.7010 c=4.7010 alpha=90.00 beta=90.00 gamma=90.00
Sites, in units of the cell vectors:
Al (0.0000, 0.0000, 0.0000)
Re (0.0000, 0.5000, 0.5000)
Re (0.5000, 0.0000, 0.5000)
Re (0.5000, 0.5000, 0.0000)
Os (0.5000, 0.5000, 0.5000)



Most stable = (one)



(one)
The following is a PBE calculation of a geometry-optimized AlReOs3 structure, from Alexandria via LeMat-Bulk.

## Properties
space-group type	Pm-3m (221)

Unit cell a=4.3303 b=4.3303 c=4.3303 alpha=90.00 beta=90.00 gamma=90.00
Sites, in units of the cell vectors:
Al (0.0000, 0.0000, 0.0000)
Re (0.5000, 0.5000, 0.5000)
Os (0.0000, 0.0000, 0.5000)
Os (0.0000, 0.5000, 0.0000)
Os (0.5000, 0.0000, 0.0000)



(two)
The following is a PBE calculation of a geometry-optimized AlReOs3 structure, from Alexandria via LeMat-Bulk.

## Properties
space-group type	Pm-3m (221)

Unit cell a=4.6959 b=4.6959 c=4.6959 alpha=90.00 beta=90.00 gamma=90.00
Sites, in units of the cell vectors:
Al (0.0000, 0.0000, 0.0000)
Re (0.5000, 0.5000, 0.5000)
Os (0.0000, 0.5000, 0.5000)
Os (0.5000, 0.0000, 0.5000)
Os (0.5000, 0.5000, 0.0000)



Most stable = (one)



(one)
The following is a PBE calculation of a geometry-optimized AlOsRh structure, from Alexandria via LeMat-Bulk.

## Properties
space-group type	F-43m (216)

Unit cell a=4.1414 b=4.1414 c=4.1414 alpha=60.00 beta=60.00 gamma=60.00
Sites, in units of the cell vectors:
Al (0.0000, 0.0000, 0.0000)
Os (0.5000, 0.5000, 0.5000)
Rh (0.7500, 0.7500, 0.7500)



(two)
The following is a PBE calculation of a geometry-optimized AlOsRh structure, from Alexandria via LeMat-Bulk.

## Properties
space-group type	Imm2 (44)

Unit cell a=4.7159 b=4.7159 c=4.7159 alpha=145.99 beta=132.92 gamma=59.34
Sites, in units of the cell vectors:
Al (0.0000, 0.0000, 0.0000)
Os (0.3373, 0.3373, 0.0000)
Rh (0.6641, 0.6641, 0.0000)



Most stable = (two)